# La2TaAl, relaxed, DFT GGA-PBE
# raw total energy: -6.08 eV per atom
# ΔH_f (0 K): 287 meV/atom
data_La2TaAl
_cell_length_a 4.673
_cell_length_b 4.673
_cell_length_c 9.392
_cell_angle_alpha 90.00
_cell_angle_beta 90.00
_cell_angle_gamma 90.00
_space_group_name_H-M_alt 'I 4/m m m'
_space_group_IT_number 139
_space_group_name_Hall '-I 4 2'
loop_
_atom_site_label
_atom_site_type_symbol
_atom_site_fract_x
_atom_site_fract_y
_atom_site_fract_z
La1 La 0.000 0.500 0.250
Ta1 Ta 0.000 0.000 0.000
Al1 Al 0.000 0.000 0.500

# LaTaAl2, relaxed, DFT GGA-PBE
# energy above the lowest structure with this stoichiometry: 0.163 eV per atom
# raw total energy: -6.06 eV per atom
# ΔH_f (0 K): 11 meV/atom
data_LaTaAl2
_cell_length_a 3.230
_cell_length_b 4.421
_cell_length_c 6.273
_cell_angle_alpha 90.00
_cell_angle_beta 104.84
_cell_angle_gamma 90.00
_space_group_name_H-M_alt 'P 1 m 1'
_space_group_IT_number 6
_space_group_name_Hall 'P -2y'
loop_
_atom_site_label
_atom_site_type_symbol
_atom_site_fract_x
_atom_site_fract_y
_atom_site_fract_z
La1 La 0.000 0.000 0.000
Ta1 Ta 0.691 0.500 0.379
Al1 Al 0.255 0.000 0.507
Al2 Al 0.378 0.500 0.755

# La2TaAl, relaxed, DFT GGA-PBE
# raw total energy: -6.06 eV per atom
# ΔH_f (0 K): 300 meV/atom
data_La2TaAl
_cell_length_a 7.322
_cell_length_b 7.322
_cell_length_c 7.322
_cell_angle_alpha 90.00
_cell_angle_beta 90.00
_cell_angle_gamma 90.00
_space_group_name_H-M_alt 'F -4 3 m'
_space_group_IT_number 216
_space_group_name_Hall 'F -4 2 3'
loop_
_atom_site_label
_atom_site_type_symbol
_atom_site_fract_x
_atom_site_fract_y
_atom_site_fract_z
La1 La 0.000 0.000 0.000
La2 La 0.250 0.250 0.250
Ta1 Ta 0.000 0.000 0.500
Al1 Al 0.250 0.250 0.750

# La2TaAl, relaxed, DFT GGA-PBE
# raw total energy: -5.97 eV per atom
# ΔH_f (0 K): 396 meV/atom
data_La2TaAl
_cell_length_a 3.3112
_cell_length_b 3.3112
_cell_length_c 32.6697
_cell_angle_alpha 90.00
_cell_angle_beta 90.00
_cell_angle_gamma 120.00
_space_group_name_H-M_alt 'R -3 m'
_space_group_IT_number 166
_space_group_name_Hall '-R 3 2"'
loop_
_atom_site_label
_atom_site_type_symbol
_atom_site_fract_x
_atom_site_fract_y
_atom_site_fract_z
La1 La 0.0000 0.0000 0.2483
Ta1 Ta 0.0000 0.0000 0.5000
Al1 Al 0.0000 0.0000 0.0000

# LaTaAl2, relaxed, DFT GGA-PBE
# energy above the lowest structure with this stoichiometry: 0.377 eV per atom
# raw total energy: -5.84 eV per atom
# ΔH_f (0 K): 225 meV/atom
data_LaTaAl2
_cell_length_a 3.0503
_cell_length_b 3.0503
_cell_length_c 31.3443
_cell_angle_alpha 90.00
_cell_angle_beta 90.00
_cell_angle_gamma 120.00
_space_group_name_H-M_alt 'R 3 m'
_space_group_IT_number 160
_space_group_name_Hall 'R 3 -2"'
loop_
_atom_site_label
_atom_site_type_symbol
_atom_site_fract_x
_atom_site_fract_y
_atom_site_fract_z
La1 La 0.0000 0.0000 0.0000
Ta1 Ta 0.0000 0.0000 0.7639
Al1 Al 0.0000 0.0000 0.2415
Al2 Al 0.0000 0.0000 0.5023

# LaTa3Al, relaxed, DFT GGA-PBE
# energy above the lowest structure with this stoichiometry: 0.000 eV per atom
# raw total energy: -7.74 eV per atom
# ΔH_f (0 K): 1109 meV/atom
data_LaTa3Al
_cell_length_a 4.908
_cell_length_b 4.908
_cell_length_c 4.908
_cell_angle_alpha 90.00
_cell_angle_beta 90.00
_cell_angle_gamma 90.00
_space_group_name_H-M_alt 'P m -3 m'
_space_group_IT_number 221
_space_group_name_Hall '-P 4 2 3'
loop_
_atom_site_label
_atom_site_type_symbol
_atom_site_fract_x
_atom_site_fract_y
_atom_site_fract_z
La1 La 0.000 0.000 0.000
Ta1 Ta 0.000 0.500 0.500
Al1 Al 0.500 0.500 0.500

# LaTaAl2, relaxed, DFT GGA-PBE
# energy above the lowest structure with this stoichiometry: 0.269 eV per atom
# raw total energy: -5.95 eV per atom
# ΔH_f (0 K): 117 meV/atom
data_LaTaAl2
_cell_length_a 11.057
_cell_length_b 2.918
_cell_length_c 5.423
_cell_angle_alpha 90.00
_cell_angle_beta 106.45
_cell_angle_gamma 90.00
_space_group_name_H-M_alt 'C 1 m 1'
_space_group_IT_number 8
_space_group_name_Hall 'C -2y'
loop_
_atom_site_label
_atom_site_type_symbol
_atom_site_fract_x
_atom_site_fract_y
_atom_site_fract_z
La1 La 0.000 0.000 0.000
Ta1 Ta 0.294 0.500 0.371
Al1 Al 0.043 0.500 0.513
Al2 Al 0.241 0.000 0.820

# LaTa2Al, relaxed, DFT GGA-PBE
# raw total energy: -7.70 eV per atom
# ΔH_f (0 K): 393 meV/atom
data_LaTa2Al
_cell_length_a 3.439
_cell_length_b 4.797
_cell_length_c 5.061
_cell_angle_alpha 90.00
_cell_angle_beta 90.00
_cell_angle_gamma 90.00
_space_group_name_H-M_alt 'P m m m'
_space_group_IT_number 47
_space_group_name_Hall '-P 2 2'
loop_
_atom_site_label
_atom_site_type_symbol
_atom_site_fract_x
_atom_site_fract_y
_atom_site_fract_z
La1 La 0.000 0.000 0.000
Ta1 Ta 0.000 0.500 0.500
Ta2 Ta 0.500 0.500 0.000
Al1 Al 0.500 0.000 0.500

# LaTaAl2, relaxed, DFT GGA-PBE
# energy above the lowest structure with this stoichiometry: 0.000 eV per atom
# raw total energy: -6.22 eV per atom
# ΔH_f (0 K): -152 meV/atom
data_LaTaAl2
_cell_length_a 3.059
_cell_length_b 3.059
_cell_length_c 8.791
_cell_angle_alpha 90.00
_cell_angle_beta 90.00
_cell_angle_gamma 90.00
_space_group_name_H-M_alt 'P 4/m m m'
_space_group_IT_number 123
_space_group_name_Hall '-P 4 2'
loop_
_atom_site_label
_atom_site_type_symbol
_atom_site_fract_x
_atom_site_fract_y
_atom_site_fract_z
La1 La 0.000 0.000 0.000
Ta1 Ta 0.000 0.000 0.500
Al1 Al 0.500 0.500 0.285

# La2TaAl, relaxed, DFT GGA-PBE
# raw total energy: -6.23 eV per atom
# ΔH_f (0 K): 129 meV/atom
data_La2TaAl
_cell_length_a 11.845
_cell_length_b 3.217
_cell_length_c 5.651
_cell_angle_alpha 90.00
_cell_angle_beta 104.63
_cell_angle_gamma 90.00
_space_group_name_H-M_alt 'C 1 m 1'
_space_group_IT_number 8
_space_group_name_Hall 'C -2y'
loop_
_atom_site_label
_atom_site_type_symbol
_atom_site_fract_x
_atom_site_fract_y
_atom_site_fract_z
La1 La 0.000 0.000 0.000
La2 La 0.198 0.000 0.654
Ta1 Ta 0.264 0.500 0.195
Al1 Al 0.440 0.000 0.473

# LaTa2Al, relaxed, DFT GGA-PBE
# raw total energy: -7.71 eV per atom
# ΔH_f (0 K): 388 meV/atom
data_LaTa2Al
_cell_length_a 6.169
_cell_length_b 9.970
_cell_length_c 2.895
_cell_angle_alpha 90.00
_cell_angle_beta 112.10
_cell_angle_gamma 90.00
_space_group_name_H-M_alt 'C 1 2/m 1'
_space_group_IT_number 12
_space_group_name_Hall '-C 2y'
loop_
_atom_site_label
_atom_site_type_symbol
_atom_site_fract_x
_atom_site_fract_y
_atom_site_fract_z
La1 La 0.000 0.000 0.000
Ta1 Ta 0.250 0.250 0.500
Al1 Al 0.000 0.500 0.000

# LaTaAl2, relaxed, DFT GGA-PBE
# energy above the lowest structure with this stoichiometry: 0.237 eV per atom
# raw total energy: -5.98 eV per atom
# ΔH_f (0 K): 84 meV/atom
data_LaTaAl2
_cell_length_a 3.170
_cell_length_b 3.170
_cell_length_c 8.338
_cell_angle_alpha 90.00
_cell_angle_beta 90.00
_cell_angle_gamma 90.00
_space_group_name_H-M_alt 'P 4 m m'
_space_group_IT_number 99
_space_group_name_Hall 'P 4 -2'
loop_
_atom_site_label
_atom_site_type_symbol
_atom_site_fract_x
_atom_site_fract_y
_atom_site_fract_z
La1 La 0.000 0.000 0.000
Ta1 Ta 0.500 0.500 0.313
Al1 Al 0.000 0.000 0.516
Al2 Al 0.500 0.500 0.710

# LaTaAl2, relaxed, DFT GGA-PBE
# energy above the lowest structure with this stoichiometry: 0.606 eV per atom
# raw total energy: -5.61 eV per atom
# ΔH_f (0 K): 454 meV/atom
data_LaTaAl2
_cell_length_a 4.687
_cell_length_b 4.687
_cell_length_c 18.938
_cell_angle_alpha 90.00
_cell_angle_beta 90.00
_cell_angle_gamma 90.00
_space_group_name_H-M_alt 'I -4 2 d'
_space_group_IT_number 122
_space_group_name_Hall 'I -4 2bw'
loop_
_atom_site_label
_atom_site_type_symbol
_atom_site_fract_x
_atom_site_fract_y
_atom_site_fract_z
La1 La 0.000 0.000 0.000
Ta1 Ta 0.000 0.000 0.500
Al1 Al 0.109 0.250 0.625

# LaTa2Al, relaxed, DFT GGA-PBE
# raw total energy: -7.88 eV per atom
# ΔH_f (0 K): 212 meV/atom
data_LaTa2Al
_cell_length_a 10.195
_cell_length_b 3.026
_cell_length_c 5.558
_cell_angle_alpha 90.00
_cell_angle_beta 101.12
_cell_angle_gamma 90.00
_space_group_name_H-M_alt 'C 1 2/m 1'
_space_group_IT_number 12
_space_group_name_Hall '-C 2y'
loop_
_atom_site_label
_atom_site_type_symbol
_atom_site_fract_x
_atom_site_fract_y
_atom_site_fract_z
La1 La 0.000 0.000 0.000
Ta1 Ta 0.229 0.000 0.708
Al1 Al 0.000 0.500 0.500

# LaTa2Al, relaxed, DFT GGA-PBE
# raw total energy: -7.68 eV per atom
# ΔH_f (0 K): 411 meV/atom
data_LaTa2Al
_cell_length_a 3.0054
_cell_length_b 3.0054
_cell_length_c 32.1194
_cell_angle_alpha 90.00
_cell_angle_beta 90.00
_cell_angle_gamma 120.00
_space_group_name_H-M_alt 'R -3 m'
_space_group_IT_number 166
_space_group_name_Hall '-R 3 2"'
loop_
_atom_site_label
_atom_site_type_symbol
_atom_site_fract_x
_atom_site_fract_y
_atom_site_fract_z
La1 La 0.0000 0.0000 0.0000
Ta1 Ta 0.0000 0.0000 0.2392
Al1 Al 0.0000 0.0000 0.5000

# LaTaAl2, relaxed, DFT GGA-PBE
# energy above the lowest structure with this stoichiometry: 0.280 eV per atom
# raw total energy: -5.94 eV per atom
# ΔH_f (0 K): 128 meV/atom
data_LaTaAl2
_cell_length_a 3.032
_cell_length_b 5.328
_cell_length_c 10.464
_cell_angle_alpha 90.00
_cell_angle_beta 90.00
_cell_angle_gamma 90.00
_space_group_name_H-M_alt 'I m m 2'
_space_group_IT_number 44
_space_group_name_Hall 'I 2 -2'
loop_
_atom_site_label
_atom_site_type_symbol
_atom_site_fract_x
_atom_site_fract_y
_atom_site_fract_z
La1 La 0.000 0.000 0.000
Ta1 Ta 0.000 0.500 0.769
Al1 Al 0.000 0.000 0.496
Al2 Al 0.000 0.500 0.222

# LaTaAl2, relaxed, DFT GGA-PBE
# energy above the lowest structure with this stoichiometry: 0.359 eV per atom
# raw total energy: -5.86 eV per atom
# ΔH_f (0 K): 207 meV/atom
data_LaTaAl2
_cell_length_a 4.286
_cell_length_b 4.286
_cell_length_c 9.417
_cell_angle_alpha 90.00
_cell_angle_beta 90.00
_cell_angle_gamma 90.00
_space_group_name_H-M_alt 'I -4 m 2'
_space_group_IT_number 119
_space_group_name_Hall 'I -4 -2'
loop_
_atom_site_label
_atom_site_type_symbol
_atom_site_fract_x
_atom_site_fract_y
_atom_site_fract_z
La1 La 0.000 0.000 0.000
Ta1 Ta 0.000 0.500 0.750
Al1 Al 0.000 0.000 0.500
Al2 Al 0.000 0.500 0.250

# La2TaAl, relaxed, DFT GGA-PBE
# raw total energy: -5.79 eV per atom
# ΔH_f (0 K): 569 meV/atom
data_La2TaAl
_cell_length_a 8.427
_cell_length_b 8.427
_cell_length_c 5.996
_cell_angle_alpha 90.00
_cell_angle_beta 90.00
_cell_angle_gamma 90.00
_space_group_name_H-M_alt 'I -4 2 d'
_space_group_IT_number 122
_space_group_name_Hall 'I -4 2bw'
loop_
_atom_site_label
_atom_site_type_symbol
_atom_site_fract_x
_atom_site_fract_y
_atom_site_fract_z
La1 La 0.249 0.250 0.125
Ta1 Ta 0.000 0.000 0.000
Al1 Al 0.000 0.000 0.500

# LaTa2Al, relaxed, DFT GGA-PBE
# raw total energy: -7.70 eV per atom
# ΔH_f (0 K): 397 meV/atom
data_LaTa2Al
_cell_length_a 3.836
_cell_length_b 4.715
_cell_length_c 9.282
_cell_angle_alpha 90.00
_cell_angle_beta 90.00
_cell_angle_gamma 90.00
_space_group_name_H-M_alt 'I m m m'
_space_group_IT_number 71
_space_group_name_Hall '-I 2 2'
loop_
_atom_site_label
_atom_site_type_symbol
_atom_site_fract_x
_atom_site_fract_y
_atom_site_fract_z
La1 La 0.000 0.000 0.000
Ta1 Ta 0.000 0.500 0.238
Al1 Al 0.000 0.000 0.500

# La2TaAl, relaxed, DFT GGA-PBE
# raw total energy: -6.23 eV per atom
# ΔH_f (0 K): 128 meV/atom
data_La2TaAl
_cell_length_a 4.110
_cell_length_b 5.021
_cell_length_c 10.106
_cell_angle_alpha 90.00
_cell_angle_beta 90.00
_cell_angle_gamma 90.00
_space_group_name_H-M_alt 'I m m 2'
_space_group_IT_number 44
_space_group_name_Hall 'I 2 -2'
loop_
_atom_site_label
_atom_site_type_symbol
_atom_site_fract_x
_atom_site_fract_y
_atom_site_fract_z
La1 La 0.000 0.000 0.000
La2 La 0.000 0.500 0.218
Ta1 Ta 0.000 0.500 0.779
Al1 Al 0.000 0.000 0.455